DFT (PBE) results for CaTePt2 after structural relaxation.

Output
Total magnetization, Bohr magnetons per cell: 0.0
Theoretical density, Mg/m³: 10.727
Energy relative to the elements, uncorrected, eV/atom: -0.56
Total DFT energy (no corrections), eV/f.u.: -19.5

```
data_CaTePt2
_space_group_name_H-M_alt 'I m m 2'
_space_group_IT_number 44
_space_group_name_Hall 'I 2 -2'
_cell_length_a 3.7263
_cell_length_b 4.8122
_cell_length_c 9.6316
_cell_angle_alpha 90.00
_cell_angle_beta 90.00
_cell_angle_gamma 90.00
loop_
_atom_site_label
_atom_site_type_symbol
_atom_site_fract_x
_atom_site_fract_y
_atom_site_fract_z
_atom_site_occupancy
Ca1 Ca 0.0000 0.0000 0.0000 1
Te1 Te 0.0000 0.5000 0.2191 1
Pt1 Pt 0.0000 0.0000 0.5182 1
Pt2 Pt 0.0000 0.5000 0.8144 1
```


DFT (PBE) results for LiMgTaRu after structural relaxation.

Output
Total magnetization, Bohr magnetons per cell: 0.0
Theoretical density, Mg/m³: 8.377
Total DFT energy (no corrections), eV/f.u.: -24.7

```
data_LiMgTaRu
_space_group_name_H-M_alt 'F -4 3 m'
_space_group_IT_number 216
_space_group_name_Hall 'F -4 2 3'
_cell_length_a 6.2861
_cell_length_b 6.2861
_cell_length_c 6.2861
_cell_angle_alpha 90.00
_cell_angle_beta 90.00
_cell_angle_gamma 90.00
loop_
_atom_site_label
_atom_site_type_symbol
_atom_site_fract_x
_atom_site_fract_y
_atom_site_fract_z
_atom_site_occupancy
Li1 Li 0.0000 0.0000 0.0000 1
Mg1 Mg 0.2500 0.2500 0.7500 1
Ta1 Ta 0.2500 0.2500 0.2500 1
Ru1 Ru 0.0000 0.0000 0.5000 1
```


DFT (PBE) results for SmAlCd after structural relaxation.

Output
Total magnetization, Bohr magnetons per cell: 0.7
Theoretical density, Mg/m³: 5.352
Total DFT energy (no corrections), eV/f.u.: -8.7

```
data_SmAlCd
_space_group_name_H-M_alt 'C m m m'
_space_group_IT_number 65
_space_group_name_Hall '-C 2 2'
_cell_length_a 7.8666
_cell_length_b 9.7294
_cell_length_c 4.6984
_cell_angle_alpha 90.00
_cell_angle_beta 90.00
_cell_angle_gamma 90.00
loop_
_atom_site_label
_atom_site_type_symbol
_atom_site_fract_x
_atom_site_fract_y
_atom_site_fract_z
_atom_site_occupancy
Sm1 Sm 0.0000 0.1902 0.0000 1
Al1 Al 0.0000 0.0000 0.5000 1
Al2 Al 0.0000 0.5000 0.0000 1
Cd1 Cd 0.1793 0.5000 0.5000 1
```


DFT (PBE) results for RuC3 after structural relaxation.

Output
Total magnetization, Bohr magnetons per cell: 0.0
Energy above the lowest structure with this stoichiometry, meV/atom: 1544
Theoretical density, Mg/m³: 6.886
Total DFT energy (no corrections), eV/f.u.: -27.1

```
data_RuC3
_space_group_name_H-M_alt 'P m -3 n'
_space_group_IT_number 223
_space_group_name_Hall '-P 4n 2 3'
_cell_length_a 4.0439
_cell_length_b 4.0439
_cell_length_c 4.0439
_cell_angle_alpha 90.00
_cell_angle_beta 90.00
_cell_angle_gamma 90.00
loop_
_atom_site_label
_atom_site_type_symbol
_atom_site_fract_x
_atom_site_fract_y
_atom_site_fract_z
_atom_site_occupancy
Ru1 Ru 0.0000 0.0000 0.0000 1
C1 C 0.0000 0.2500 0.5000 1
```


DFT (PBE) results for MgBe2Hg after structural relaxation.

Output
Total magnetization, Bohr magnetons per cell: 0.0
Energy above the lowest structure with this stoichiometry, meV/atom: 315
Theoretical density, Mg/m³: 6.162
Total DFT energy (no corrections), eV/f.u.: -7.1

```
data_MgBe2Hg
_space_group_name_H-M_alt 'R -3 m'
_space_group_IT_number 166
_space_group_name_Hall '-R 3 2"'
_cell_length_a 3.0555
_cell_length_b 3.0555
_cell_length_c 24.2899
_cell_angle_alpha 90.00
_cell_angle_beta 90.00
_cell_angle_gamma 120.00
loop_
_atom_site_label
_atom_site_type_symbol
_atom_site_fract_x
_atom_site_fract_y
_atom_site_fract_z
_atom_site_occupancy
Mg1 Mg 0.0000 0.0000 0.0000 1
Be1 Be 0.0000 0.0000 0.2448 1
Hg1 Hg 0.0000 0.0000 0.5000 1
```


DFT (PBE) results for NaPbN2 after structural relaxation.

Output
Total magnetization, Bohr magnetons per cell: 3.0
Theoretical density, Mg/m³: 5.931
Energy relative to the elements, uncorrected, eV/atom: 0.98
Total DFT energy (no corrections), eV/f.u.: -17.7

```
data_NaPbN2
_space_group_name_H-M_alt 'R -3 m'
_space_group_IT_number 166
_space_group_name_Hall '-R 3 2"'
_cell_length_a 3.4871
_cell_length_b 3.4871
_cell_length_c 20.5957
_cell_angle_alpha 90.00
_cell_angle_beta 90.00
_cell_angle_gamma 120.00
loop_
_atom_site_label
_atom_site_type_symbol
_atom_site_fract_x
_atom_site_fract_y
_atom_site_fract_z
_atom_site_occupancy
Na1 Na 0.0000 0.0000 0.0000 1
Pb1 Pb 0.0000 0.0000 0.5000 1
N1 N 0.0000 0.0000 0.1094 1
```


DFT (PBE) results for ErGa6Pd6 after structural relaxation.

Output
Total magnetization, Bohr magnetons per cell: 0.0
Theoretical density, Mg/m³: 9.345
Total DFT energy (no corrections), eV/f.u.: -61.9

```
data_ErGa6Pd6
_space_group_name_H-M_alt 'I m m m'
_space_group_IT_number 71
_space_group_name_Hall '-I 2 2'
_cell_length_a 5.4999
_cell_length_b 8.3333
_cell_length_c 9.4917
_cell_angle_alpha 90.00
_cell_angle_beta 90.00
_cell_angle_gamma 90.00
loop_
_atom_site_label
_atom_site_type_symbol
_atom_site_fract_x
_atom_site_fract_y
_atom_site_fract_z
_atom_site_occupancy
Er1 Er 0.0000 0.0000 0.0000 1
Ga1 Ga 0.0000 0.0000 0.3418 1
Ga2 Ga 0.0000 0.3511 0.0000 1
Ga3 Ga 0.0000 0.5000 0.3234 1
Pd1 Pd 0.0000 0.2604 0.5000 1
Pd2 Pd 0.2500 0.2500 0.2500 1
```


DFT (PBE) results for GaHgH after structural relaxation.

Output
Total magnetization, Bohr magnetons per cell: 0.0
Energy above the lowest structure with this stoichiometry, meV/atom: 173
Theoretical density, Mg/m³: 8.520
Total DFT energy (no corrections), eV/f.u.: -5.8

```
data_GaHgH
_space_group_name_H-M_alt 'I 4 m m'
_space_group_IT_number 107
_space_group_name_Hall 'I 4 -2'
_cell_length_a 4.0498
_cell_length_b 4.0498
_cell_length_c 6.4487
_cell_angle_alpha 90.00
_cell_angle_beta 90.00
_cell_angle_gamma 90.00
loop_
_atom_site_label
_atom_site_type_symbol
_atom_site_fract_x
_atom_site_fract_y
_atom_site_fract_z
_atom_site_occupancy
Ga1 Ga 0.0000 0.0000 0.0000 1
Hg1 Hg 0.0000 0.0000 0.4295 1
H1 H 0.0000 0.0000 0.7291 1
```


DFT (PBE) results for AgPb2Br2O2 after structural relaxation.

Output
Total magnetization, Bohr magnetons per cell: 0.0
Theoretical density, Mg/m³: 7.176
Energy relative to the elements, uncorrected, eV/atom: -0.78
Total DFT energy (no corrections), eV/f.u.: -29.0

```
data_AgPb2Br2O2
_space_group_name_H-M_alt 'C 1 2/m 1'
_space_group_IT_number 12
_space_group_name_Hall '-C 2y'
_cell_length_a 12.3475
_cell_length_b 3.9260
_cell_length_c 7.9446
_cell_angle_alpha 90.00
_cell_angle_beta 120.89
_cell_angle_gamma 90.00
loop_
_atom_site_label
_atom_site_type_symbol
_atom_site_fract_x
_atom_site_fract_y
_atom_site_fract_z
_atom_site_occupancy
Ag1 Ag 0.0000 0.0000 0.0000 1
Pb1 Pb 0.1924 0.0000 0.7711 1
Br1 Br 0.0638 0.5000 0.3111 1
O1 O 0.1906 0.0000 0.0668 1
```


DFT (PBE) results for MnN3Cl after structural relaxation.

Output
Total magnetization, Bohr magnetons per cell: 0.0
Theoretical density, Mg/m³: 4.303
Energy relative to the elements, uncorrected, eV/atom: 1.46
Total DFT energy (no corrections), eV/f.u.: -28.7

```
data_MnN3Cl
_space_group_name_H-M_alt 'P m -3 m'
_space_group_IT_number 221
_space_group_name_Hall '-P 4 2 3'
_cell_length_a 3.7107
_cell_length_b 3.7107
_cell_length_c 3.7107
_cell_angle_alpha 90.00
_cell_angle_beta 90.00
_cell_angle_gamma 90.00
loop_
_atom_site_label
_atom_site_type_symbol
_atom_site_fract_x
_atom_site_fract_y
_atom_site_fract_z
_atom_site_occupancy
Mn1 Mn 0.0000 0.0000 0.0000 1
N1 N 0.0000 0.0000 0.5000 1
Cl1 Cl 0.5000 0.5000 0.5000 1
```


DFT (PBE) results for MgZnCu3 after structural relaxation.

Output
Total magnetization, Bohr magnetons per cell: 0.0
Energy above the lowest structure with this stoichiometry, meV/atom: 224
Theoretical density, Mg/m³: 5.951
Total DFT energy (no corrections), eV/f.u.: -14.3

```
data_MgZnCu3
_space_group_name_H-M_alt 'C m c m'
_space_group_IT_number 63
_space_group_name_Hall '-C 2c 2'
_cell_length_a 4.9122
_cell_length_b 13.1291
_cell_length_c 4.8517
_cell_angle_alpha 90.00
_cell_angle_beta 90.00
_cell_angle_gamma 90.00
loop_
_atom_site_label
_atom_site_type_symbol
_atom_site_fract_x
_atom_site_fract_y
_atom_site_fract_z
_atom_site_occupancy
Mg1 Mg 0.0000 0.0000 0.0000 1
Zn1 Zn 0.0000 0.3540 0.2500 1
Cu1 Cu 0.0000 0.1756 0.7500 1
Cu2 Cu 0.2477 0.1622 0.2500 1
```


DFT (PBE) results for KLiAsSe2 after structural relaxation.

Output
Total magnetization, Bohr magnetons per cell: 0.0
Energy above the lowest structure with this stoichiometry, meV/atom: 416
Theoretical density, Mg/m³: 3.914
Energy relative to the elements, uncorrected, eV/atom: -0.15
Total DFT energy (no corrections), eV/f.u.: -15.4

```
data_KLiAsSe2
_space_group_name_H-M_alt 'P 4/m m m'
_space_group_IT_number 123
_space_group_name_Hall '-P 4 2'
_cell_length_a 5.0323
_cell_length_b 5.0323
_cell_length_c 4.6725
_cell_angle_alpha 90.00
_cell_angle_beta 90.00
_cell_angle_gamma 90.00
loop_
_atom_site_label
_atom_site_type_symbol
_atom_site_fract_x
_atom_site_fract_y
_atom_site_fract_z
_atom_site_occupancy
K1 K 0.0000 0.0000 0.0000 1
Li1 Li 0.5000 0.5000 0.5000 1
As1 As 0.5000 0.5000 0.0000 1
Se1 Se 0.0000 0.5000 0.5000 1
```